TbPmSN | PBE | relaxed

Geometry as POSCAR:
```
TbPmSN
1.0
3.6918 0.0000 0.0000
1.8459 3.1972 0.0000
1.8459 1.0657 6.4191
Tb S Pm N
1 1 1 1
Direct
0.5138 0.5138 0.4587
0.7530 0.7530 0.7410
0.9871 0.9871 0.0387
0.2461 0.2461 0.2616
```

Computed properties:
Symmetry   R3m
Energy relative to the elements, uncorrected   -1.81 eV per atom
Electronic total energy   -29.059 eV for the cell shown
Density   7.67 g/cm3
V   75.8 Å³/cell

***

Tb5Er8Pb | PBE | relaxed

Geometry as POSCAR:
```
Tb5Er8Pb
1.0
-5.4695 -4.3342 -4.6255
3.0467 -4.7229 6.2054
-4.1151 6.6231 3.0490
Er Tb Pb
8 5 1
Direct
0.1718 0.7342 0.0706
0.5281 0.6091 0.2769
0.6677 0.3909 0.9190
0.5623 0.8988 0.8282
0.9294 0.1012 0.6636
0.3364 0.2658 0.4377
0.0810 0.7488 0.4719
0.7231 0.2512 0.3323
0.8205 0.6863 0.7103
0.0240 0.3137 0.1342
0.2897 0.1102 0.9760
0.8658 0.8898 0.1795
0.5000 0.0000 0.5000
0.2500 0.5000 0.7500
```

Computed properties:
Symmetry   I-4
Electronic total energy   -60.931 eV for the cell shown
Density   8.61 g/cm3
V   451.1 Å³/cell
E_form   0.17 eV/atom

***

Ba12ZnAu6 | PBE | relaxed

Geometry as POSCAR:
```
Ba12ZnAu6
1.0
-7.8016 3.3930 5.6212
-3.5348 -5.9930 -7.4542
6.3813 -5.3267 5.9060
Au Ba Zn
6 12 1
Direct
0.5000 0.8747 0.3747
0.8747 0.3747 0.5000
0.6253 0.5000 0.1253
0.3747 0.5000 0.8747
0.1253 0.6253 0.5000
0.5000 0.1253 0.6253
0.8215 0.3063 0.1278
0.1278 0.8215 0.3063
0.6937 0.5151 0.8215
0.1785 0.6937 0.8722
0.8722 0.1785 0.6937
0.3063 0.1278 0.8215
0.3063 0.4849 0.1785
0.1785 0.3063 0.4849
0.5151 0.8215 0.6937
0.6937 0.8722 0.1785
0.8215 0.6937 0.5151
0.4849 0.1785 0.3063
0.0000 0.0000 0.0000
```

Computed properties:
Symmetry   Im-3
Electronic total energy   -52.471 eV for the cell shown
Density   5.89 g/cm3
V   816.1 Å³/cell
E_form   -0.45 eV/atom

***

RbLiCaBr4 | PBE | relaxed

Geometry as POSCAR:
```
RbLiCaBr4
1.0
-3.6039 -0.8397 -6.0512
-6.2832 -0.9752 3.8774
0.0301 9.0972 2.3369
Br Rb Ca Li
8 2 2 2
Direct
0.9869 0.4988 0.2949
0.0131 0.5012 0.7051
0.0131 0.9988 0.7051
0.5217 0.2500 0.4148
0.9869 0.0012 0.2949
0.4442 0.7500 0.1621
0.4783 0.7500 0.5852
0.5558 0.2500 0.8379
0.7475 0.7500 0.9456
0.2525 0.2500 0.0544
0.7864 0.7500 0.4494
0.2136 0.2500 0.5506
0.7615 0.2500 0.6702
0.2385 0.7500 0.3298
```

Computed properties:
Symmetry   P2_1/m
Energy relative to the elements, uncorrected   -1.79 eV per atom
Electronic total energy   -48.201 eV for the cell shown
Density   3.20 g/cm3
V   468.6 Å³/cell

***

Li2AcY2Pb2 | PBE | relaxed

Geometry as POSCAR:
```
Li2AcY2Pb2
1.0
4.9347 0.0000 0.0000
2.4674 4.2736 0.0000
2.4674 1.4245 9.4132
Pb Ac Li Y
2 1 2 2
Direct
0.7439 0.7439 0.7683
0.2561 0.2561 0.2317
0.0000 0.0000 0.0000
0.5785 0.5785 0.2644
0.4215 0.4215 0.7356
0.8677 0.8677 0.3970
0.1323 0.1323 0.6030
```

Computed properties:
Symmetry   R-3m
Electronic total energy   -30.779 eV for the cell shown
Density   6.97 g/cm3
V   198.5 Å³/cell
E_form   -0.36 eV/atom

***

Tl2ZnMo | PBE | relaxed

Geometry as POSCAR:
```
Tl2ZnMo
1.0
-2.1210 -1.3023 5.3347
-4.0068 -2.6224 3.4238
1.9477 -4.5380 1.2126
Tl Zn Mo
2 1 1
Direct
0.7617 0.7617 0.6968
0.9744 0.9744 0.0690
0.5397 0.5397 0.5231
0.2242 0.2242 0.2111
```

Computed properties:
Symmetry   Cm
Excess energy over the best structure of this formula in the dataset   4.0 kJ/mol of atoms
Electronic total energy   -14.772 eV for the cell shown
Density   11.40 g/cm3
V   83.0 Å³/cell
E_form   0.52 eV/atom